VASP calculation (PBE+U) on a relaxed structure of PmMn2FeO6.

Geometry as POSCAR:
```
PmMn2FeO6
1.0
5.327 0.000 0.000
2.664 4.613 0.000
2.663 1.538 4.792
Pm Mn Fe O
1 2 1 6
Direct
0.791 0.791 0.628
0.525 0.525 0.426
0.009 0.009 0.974
0.317 0.317 0.049
0.626 0.226 0.223
0.226 0.926 0.223
0.926 0.626 0.223
0.339 0.738 0.756
0.738 0.166 0.756
0.166 0.339 0.756
```

Values from the calculation:
For the energy, the calculation gives -7.48 eV per atom. The volume comes out at 118 Å³/cell.